# Pb2SF2 (PBE, optimized geometry)
data_Pb2SF2
_space_group_name_H-M_alt 'P 1'
_space_group_IT_number 1
_space_group_name_Hall 'P 1'
_cell_length_a 7.346
_cell_length_b 7.346
_cell_length_c 7.675
_cell_angle_alpha 90.00
_cell_angle_beta 90.00
_cell_angle_gamma 148.43
loop_
_atom_site_label
_atom_site_type_symbol
_atom_site_fract_x
_atom_site_fract_y
_atom_site_fract_z
Pb1 Pb 0.034 0.966 0.500
Pb2 Pb 0.287 0.713 0.399
Pb3 Pb 0.713 0.287 0.899
Pb4 Pb 0.966 0.034 0.000
S1 S 0.428 0.572 0.653
S2 S 0.572 0.428 0.153
F1 F 0.113 0.887 0.803
F2 F 0.286 0.714 0.054
F3 F 0.714 0.286 0.554
F4 F 0.887 0.113 0.303
# DFT total energy: -46.47 eV/cell
# E_form (uncorrected): -1.590 eV per atom

---

# Tb4ErTmS8 (PBE, optimized geometry)
data_Tb4ErTmS8
_space_group_name_H-M_alt 'P 1'
_space_group_IT_number 1
_space_group_name_Hall 'P 1'
_cell_length_a 8.039
_cell_length_b 8.039
_cell_length_c 8.039
_cell_angle_alpha 60.06
_cell_angle_beta 60.06
_cell_angle_gamma 60.06
loop_
_atom_site_label
_atom_site_type_symbol
_atom_site_fract_x
_atom_site_fract_y
_atom_site_fract_z
Tb1 Tb 0.000 0.000 0.000
Tb2 Tb 0.376 0.376 0.874
Tb3 Tb 0.376 0.874 0.376
Tb4 Tb 0.874 0.376 0.376
Er1 Er 0.376 0.376 0.376
Tm1 Tm 0.751 0.751 0.751
S1 S 0.133 0.133 0.133
S2 S 0.136 0.136 0.601
S3 S 0.136 0.601 0.136
S4 S 0.144 0.617 0.617
S5 S 0.601 0.136 0.136
S6 S 0.617 0.144 0.617
S7 S 0.617 0.617 0.144
S8 S 0.620 0.620 0.620
# DFT total energy: -87.61 eV/cell
# E_form (uncorrected): -1.931 eV per atom

---

# La2HfAgPb (PBE, optimized geometry)
data_La2HfAgPb
_space_group_name_H-M_alt 'P 1'
_space_group_IT_number 1
_space_group_name_Hall 'P 1'
_cell_length_a 6.104
_cell_length_b 6.104
_cell_length_c 5.136
_cell_angle_alpha 90.00
_cell_angle_beta 90.00
_cell_angle_gamma 90.00
loop_
_atom_site_label
_atom_site_type_symbol
_atom_site_fract_x
_atom_site_fract_y
_atom_site_fract_z
La1 La 0.000 0.500 0.000
La2 La 0.500 0.000 0.000
Hf1 Hf 0.000 0.000 0.500
Ag1 Ag 0.500 0.500 0.500
Pb1 Pb 0.500 0.500 0.000
# DFT total energy: -22.25 eV/cell
# E_form: 0.825 eV per atom

---

# CaPbSeBr2 (PBE, optimized geometry)
data_CaPbSeBr2
_space_group_name_H-M_alt 'P 1'
_space_group_IT_number 1
_space_group_name_Hall 'P 1'
_cell_length_a 5.400
_cell_length_b 5.400
_cell_length_c 5.797
_cell_angle_alpha 90.00
_cell_angle_beta 90.00
_cell_angle_gamma 90.00
loop_
_atom_site_label
_atom_site_type_symbol
_atom_site_fract_x
_atom_site_fract_y
_atom_site_fract_z
Ca1 Ca 0.000 0.000 0.000
Pb1 Pb 0.500 0.500 0.500
Se1 Se 0.000 0.000 0.500
Br1 Br 0.000 0.500 0.000
Br2 Br 0.500 0.000 0.000
# DFT total energy: -17.31 eV/cell
# E_form (uncorrected): -0.954 eV per atom

---

# SrLiNd (PBE, optimized geometry)
data_SrLiNd
_space_group_name_H-M_alt 'P 1'
_space_group_IT_number 1
_space_group_name_Hall 'P 1'
_cell_length_a 7.459
_cell_length_b 7.459
_cell_length_c 7.459
_cell_angle_alpha 149.47
_cell_angle_beta 149.47
_cell_angle_gamma 43.71
loop_
_atom_site_label
_atom_site_type_symbol
_atom_site_fract_x
_atom_site_fract_y
_atom_site_fract_z
Sr1 Sr 0.000 0.000 0.000
Li1 Li 0.658 0.658 0.000
Nd1 Nd 0.292 0.292 0.000
# DFT total energy: -7.90 eV/cell
# E_form: 0.153 eV per atom

---

# BiRhPb3 (PBE, optimized geometry)
data_BiRhPb3
_space_group_name_H-M_alt 'P 1'
_space_group_IT_number 1
_space_group_name_Hall 'P 1'
_cell_length_a 5.326
_cell_length_b 5.326
_cell_length_c 5.326
_cell_angle_alpha 90.00
_cell_angle_beta 90.00
_cell_angle_gamma 90.00
loop_
_atom_site_label
_atom_site_type_symbol
_atom_site_fract_x
_atom_site_fract_y
_atom_site_fract_z
Bi1 Bi 0.000 0.000 0.000
Rh1 Rh 0.500 0.500 0.500
Pb1 Pb 0.000 0.500 0.500
Pb2 Pb 0.500 0.000 0.500
Pb3 Pb 0.500 0.500 0.000
# DFT total energy: -22.14 eV/cell
# E_form: 0.044 eV per atom

---

# LiTbNdEu (PBE, optimized geometry)
data_LiTbNdEu
_space_group_name_H-M_alt 'P 1'
_space_group_IT_number 1
_space_group_name_Hall 'P 1'
_cell_length_a 5.694
_cell_length_b 5.694
_cell_length_c 5.694
_cell_angle_alpha 60.00
_cell_angle_beta 60.00
_cell_angle_gamma 60.00
loop_
_atom_site_label
_atom_site_type_symbol
_atom_site_fract_x
_atom_site_fract_y
_atom_site_fract_z
Li1 Li 0.000 0.000 0.000
Tb1 Tb 0.500 0.500 0.500
Nd1 Nd 0.250 0.250 0.250
Eu1 Eu 0.750 0.750 0.750
# DFT total energy: -20.77 eV/cell
# E_form: 0.205 eV per atom

---

# ZnPbS2O8 (PBE, optimized geometry)
data_ZnPbS2O8
_space_group_name_H-M_alt 'P 1'
_space_group_IT_number 1
_space_group_name_Hall 'P 1'
_cell_length_a 7.860
_cell_length_b 7.860
_cell_length_c 7.860
_cell_angle_alpha 36.06
_cell_angle_beta 36.06
_cell_angle_gamma 36.06
loop_
_atom_site_label
_atom_site_type_symbol
_atom_site_fract_x
_atom_site_fract_y
_atom_site_fract_z
Zn1 Zn 0.000 0.000 0.000
Pb1 Pb 0.500 0.500 0.500
S1 S 0.255 0.255 0.255
S2 S 0.745 0.745 0.745
O1 O 0.011 0.428 0.736
O2 O 0.186 0.186 0.186
O3 O 0.264 0.989 0.572
O4 O 0.428 0.736 0.011
O5 O 0.572 0.264 0.989
O6 O 0.736 0.011 0.428
O7 O 0.814 0.814 0.814
O8 O 0.989 0.572 0.264
# DFT total energy: -69.72 eV/cell
# E_form (uncorrected): -1.401 eV per atom

---

# TeOs5 (PBE, optimized geometry)
data_TeOs5
_space_group_name_H-M_alt 'P 1'
_space_group_IT_number 1
_space_group_name_Hall 'P 1'
_cell_length_a 6.444
_cell_length_b 6.444
_cell_length_c 3.886
_cell_angle_alpha 90.00
_cell_angle_beta 90.00
_cell_angle_gamma 144.49
loop_
_atom_site_label
_atom_site_type_symbol
_atom_site_fract_x
_atom_site_fract_y
_atom_site_fract_z
Te1 Te 0.000 0.000 0.000
Os1 Os 0.177 0.823 0.500
Os2 Os 0.318 0.682 0.000
Os3 Os 0.500 0.500 0.500
Os4 Os 0.682 0.318 0.000
Os5 Os 0.823 0.177 0.500
# DFT total energy: -56.08 eV/cell
# E_form (uncorrected): 0.536 eV per atom

---

# Tc3Br2 (PBE, optimized geometry)
data_Tc3Br2
_space_group_name_H-M_alt 'P 1'
_space_group_IT_number 1
_space_group_name_Hall 'P 1'
_cell_length_a 7.170
_cell_length_b 5.709
_cell_length_c 7.848
_cell_angle_alpha 61.49
_cell_angle_beta 44.40
_cell_angle_gamma 74.11
loop_
_atom_site_label
_atom_site_type_symbol
_atom_site_fract_x
_atom_site_fract_y
_atom_site_fract_z
Tc1 Tc 0.000 0.000 0.000
Tc2 Tc 0.250 0.250 0.250
Tc3 Tc 0.270 0.334 0.902
Tc4 Tc 0.334 0.270 0.495
Tc5 Tc 0.348 0.755 0.980
Tc6 Tc 0.755 0.348 0.916
Br1 Br 0.151 0.723 0.420
Br2 Br 0.544 0.830 0.527
Br3 Br 0.723 0.151 0.706
Br4 Br 0.830 0.544 0.099
# DFT total energy: -62.73 eV/cell
# E_form (uncorrected): 0.616 eV per atom

---

# Cd3RuPb (PBE, optimized geometry)
data_Cd3RuPb
_space_group_name_H-M_alt 'P 1'
_space_group_IT_number 1
_space_group_name_Hall 'P 1'
_cell_length_a 5.179
_cell_length_b 5.179
_cell_length_c 5.179
_cell_angle_alpha 90.00
_cell_angle_beta 90.00
_cell_angle_gamma 90.00
loop_
_atom_site_label
_atom_site_type_symbol
_atom_site_fract_x
_atom_site_fract_y
_atom_site_fract_z
Cd1 Cd 0.000 0.000 0.500
Cd2 Cd 0.000 0.500 0.000
Cd3 Cd 0.500 0.000 0.000
Ru1 Ru 0.000 0.000 0.000
Pb1 Pb 0.500 0.500 0.500
# DFT total energy: -13.21 eV/cell
# E_form: 0.504 eV per atom

---

# ErSeF (PBE, optimized geometry)
data_ErSeF
_space_group_name_H-M_alt 'P 1'
_space_group_IT_number 1
_space_group_name_Hall 'P 1'
_cell_length_a 7.625
_cell_length_b 5.667
_cell_length_c 5.777
_cell_angle_alpha 90.00
_cell_angle_beta 90.00
_cell_angle_gamma 90.00
loop_
_atom_site_label
_atom_site_type_symbol
_atom_site_fract_x
_atom_site_fract_y
_atom_site_fract_z
Er1 Er 0.177 0.250 0.134
Er2 Er 0.323 0.750 0.634
Er3 Er 0.677 0.250 0.366
Er4 Er 0.823 0.750 0.866
Se1 Se 0.173 0.750 0.118
Se2 Se 0.327 0.250 0.618
Se3 Se 0.673 0.750 0.382
Se4 Se 0.827 0.250 0.882
F1 F 0.041 0.750 0.631
F2 F 0.459 0.250 0.131
F3 F 0.541 0.750 0.869
F4 F 0.959 0.250 0.369
# DFT total energy: -73.17 eV/cell
# E_form (uncorrected): -2.792 eV per atom

---

# Pm3Sm2YEr6 (PBE, optimized geometry)
data_Pm3Sm2YEr6
_space_group_name_H-M_alt 'P 1'
_space_group_IT_number 1
_space_group_name_Hall 'P 1'
_cell_length_a 6.190
_cell_length_b 6.190
_cell_length_c 11.760
_cell_angle_alpha 95.01
_cell_angle_beta 95.01
_cell_angle_gamma 119.98
loop_
_atom_site_label
_atom_site_type_symbol
_atom_site_fract_x
_atom_site_fract_y
_atom_site_fract_z
Pm1 Pm 0.000 0.000 0.000
Pm2 Pm 0.333 0.667 0.000
Pm3 Pm 0.667 0.333 0.000
Sm1 Sm 0.167 0.833 0.500
Sm2 Sm 0.833 0.167 0.500
Y1 Y 0.500 0.500 0.500
Er1 Er 0.083 0.417 0.251
Er2 Er 0.250 0.250 0.749
Er3 Er 0.417 0.083 0.251
Er4 Er 0.583 0.917 0.749
Er5 Er 0.750 0.750 0.251
Er6 Er 0.917 0.583 0.749
# DFT total energy: -57.33 eV/cell
# E_form: 0.017 eV per atom

---

# KZr2Tc (PBE, optimized geometry)
data_KZr2Tc
_space_group_name_H-M_alt 'P 1'
_space_group_IT_number 1
_space_group_name_Hall 'P 1'
_cell_length_a 3.270
_cell_length_b 4.266
_cell_length_c 8.453
_cell_angle_alpha 90.00
_cell_angle_beta 97.36
_cell_angle_gamma 90.00
loop_
_atom_site_label
_atom_site_type_symbol
_atom_site_fract_x
_atom_site_fract_y
_atom_site_fract_z
K1 K 0.000 0.000 0.000
Zr1 Zr 0.359 0.500 0.634
Zr2 Zr 0.898 0.000 0.418
Tc1 Tc 0.420 0.500 0.348
# DFT total energy: -26.71 eV/cell
# E_form: 0.463 eV per atom

---

# Pr3Ni4P4 (PBE, optimized geometry)
data_Pr3Ni4P4
_space_group_name_H-M_alt 'P 1'
_space_group_IT_number 1
_space_group_name_Hall 'P 1'
_cell_length_a 11.922
_cell_length_b 11.922
_cell_length_c 11.922
_cell_angle_alpha 160.87
_cell_angle_beta 160.35
_cell_angle_gamma 27.56
loop_
_atom_site_label
_atom_site_type_symbol
_atom_site_fract_x
_atom_site_fract_y
_atom_site_fract_z
Pr1 Pr 0.000 0.000 0.000
Pr2 Pr 0.150 0.650 0.500
Pr3 Pr 0.850 0.350 0.500
Ni1 Ni 0.249 0.249 0.000
Ni2 Ni 0.404 0.904 0.500
Ni3 Ni 0.596 0.096 0.500
Ni4 Ni 0.751 0.751 0.000
P1 P 0.304 0.804 0.500
P2 P 0.448 0.448 0.000
P3 P 0.552 0.552 0.000
P4 P 0.696 0.196 0.500
# DFT total energy: -70.88 eV/cell
# E_form: -1.071 eV per atom

---

# AcAlZn6Ag (PBE, optimized geometry)
data_AcAlZn6Ag
_space_group_name_H-M_alt 'P 1'
_space_group_IT_number 1
_space_group_name_Hall 'P 1'
_cell_length_a 8.146
_cell_length_b 8.146
_cell_length_c 8.146
_cell_angle_alpha 127.90
_cell_angle_beta 110.45
_cell_angle_gamma 92.09
loop_
_atom_site_label
_atom_site_type_symbol
_atom_site_fract_x
_atom_site_fract_y
_atom_site_fract_z
Ac1 Ac 0.453 0.203 0.250
Ac2 Ac 0.547 0.797 0.750
Al1 Al 0.000 0.000 0.500
Al2 Al 0.000 0.500 0.000
Zn1 Zn 0.114 0.442 0.310
Zn2 Zn 0.114 0.804 0.672
Zn3 Zn 0.158 0.908 0.250
Zn4 Zn 0.238 0.488 0.750
Zn5 Zn 0.368 0.196 0.810
Zn6 Zn 0.368 0.558 0.172
Zn7 Zn 0.632 0.442 0.828
Zn8 Zn 0.632 0.804 0.190
Zn9 Zn 0.762 0.512 0.250
Zn10 Zn 0.842 0.092 0.750
Zn11 Zn 0.886 0.196 0.328
Zn12 Zn 0.886 0.558 0.690
Ag1 Ag 0.000 0.000 0.000
Ag2 Ag 0.500 0.000 0.500
# DFT total energy: -35.50 eV/cell
# E_form: 0.066 eV per atom

---

# Sr2AcIrN2 (PBE, optimized geometry)
data_Sr2AcIrN2
_space_group_name_H-M_alt 'P 1'
_space_group_IT_number 1
_space_group_name_Hall 'P 1'
_cell_length_a 5.782
_cell_length_b 11.783
_cell_length_c 3.948
_cell_angle_alpha 90.00
_cell_angle_beta 90.00
_cell_angle_gamma 90.00
loop_
_atom_site_label
_atom_site_type_symbol
_atom_site_fract_x
_atom_site_fract_y
_atom_site_fract_z
Sr1 Sr 0.026 0.206 0.000
Sr2 Sr 0.474 0.706 0.500
Sr3 Sr 0.526 0.294 0.500
Sr4 Sr 0.974 0.794 0.000
Ac1 Ac 0.000 0.500 0.500
Ac2 Ac 0.500 0.000 0.000
Ir1 Ir 0.000 0.000 0.500
Ir2 Ir 0.500 0.500 0.000
N1 N 0.238 0.614 0.000
N2 N 0.262 0.114 0.500
N3 N 0.738 0.886 0.500
N4 N 0.762 0.386 0.000
# DFT total energy: -71.83 eV/cell
# E_form (uncorrected): -0.489 eV per atom

---

# NbReB3 (PBE, optimized geometry)
data_NbReB3
_space_group_name_H-M_alt 'P 1'
_space_group_IT_number 1
_space_group_name_Hall 'P 1'
_cell_length_a 9.495
_cell_length_b 9.495
_cell_length_c 3.032
_cell_angle_alpha 90.00
_cell_angle_beta 90.00
_cell_angle_gamma 159.10
loop_
_atom_site_label
_atom_site_type_symbol
_atom_site_fract_x
_atom_site_fract_y
_atom_site_fract_z
Nb1 Nb 0.073 0.927 0.750
Nb2 Nb 0.927 0.073 0.250
Re1 Re 0.201 0.799 0.250
Re2 Re 0.799 0.201 0.750
B1 B 0.324 0.676 0.250
B2 B 0.377 0.623 0.750
B3 B 0.476 0.524 0.750
B4 B 0.524 0.476 0.250
B5 B 0.623 0.377 0.250
B6 B 0.676 0.324 0.750
# DFT total energy: -90.05 eV/cell
# E_form: -0.495 eV per atom

---

# Tb2HoTmSb4 (PBE, optimized geometry)
data_Tb2HoTmSb4
_space_group_name_H-M_alt 'P 1'
_space_group_IT_number 1
_space_group_name_Hall 'P 1'
_cell_length_a 7.579
_cell_length_b 4.379
_cell_length_c 7.580
_cell_angle_alpha 90.00
_cell_angle_beta 109.47
_cell_angle_gamma 90.00
loop_
_atom_site_label
_atom_site_type_symbol
_atom_site_fract_x
_atom_site_fract_y
_atom_site_fract_z
Tb1 Tb 0.000 0.000 0.000
Tb2 Tb 0.000 0.500 0.500
Ho1 Ho 0.500 0.000 0.500
Tm1 Tm 0.500 0.500 0.000
Sb1 Sb 0.253 0.500 0.250
Sb2 Sb 0.254 0.000 0.752
Sb3 Sb 0.746 0.000 0.248
Sb4 Sb 0.747 0.500 0.750
# DFT total energy: -43.75 eV/cell
# E_form (uncorrected): -1.119 eV per atom

---

# BaV2P (PBE, optimized geometry)
data_BaV2P
_space_group_name_H-M_alt 'P 1'
_space_group_IT_number 1
_space_group_name_Hall 'P 1'
_cell_length_a 4.552
_cell_length_b 4.552
_cell_length_c 4.552
_cell_angle_alpha 60.00
_cell_angle_beta 60.00
_cell_angle_gamma 60.00
loop_
_atom_site_label
_atom_site_type_symbol
_atom_site_fract_x
_atom_site_fract_y
_atom_site_fract_z
Ba1 Ba 0.000 0.000 0.000
V1 V 0.250 0.250 0.250
V2 V 0.750 0.750 0.750
P1 P 0.500 0.500 0.500
# DFT total energy: -22.66 eV/cell
# E_form: 0.727 eV per atom